1.
6
Lattice="2.641 0.000 0.000 0.974 5.065 0.000 0.675 1.171 6.682" Properties=species:S:1:pos:R:3 comment="VTcMo, relaxed, DFT GGA-PBE" total_magnetization_mub_per_fu=0.000 dos_ef_per_ev_cell=4.514 ef_ev_per_atom=0.037 final_energy_ev_per_cell=-60.4 polymorph_energy_mev_per_atom=219 pbc="T T T"
V 0.928 1.253 2.262
V 3.362 4.983 4.420
Tc 1.710 2.409 4.375
Tc 2.580 3.828 2.307
Mo 0.000 0.000 0.000
Mo 0.487 2.533 0.000

2.
8
Lattice="-1.536 2.164 8.667 1.536 -2.164 8.667 1.536 2.164 -8.667" Properties=species:S:1:pos:R:3 comment="V3Tc3Mo2, relaxed, DFT GGA-PBE" total_magnetization_mub_per_fu=0.000 dos_ef_per_ev_cell=5.151 ef_ev_per_atom=-0.244 final_energy_ev_per_cell=-82.1 pbc="T T T"
V 0.000 0.000 0.000
V 1.536 0.000 6.565
V 0.000 2.164 2.102
Tc 1.536 0.000 2.121
Tc 0.000 0.000 8.667
Tc 0.000 2.164 6.546
Mo 0.000 0.000 4.337
Mo 0.000 0.000 12.997

3.
12
Lattice="2.666 0.000 0.000 -0.961 6.686 0.000 -0.927 -1.901 9.931" Properties=species:S:1:pos:R:3 comment="V5Tc2Mo5, relaxed, DFT GGA-PBE" total_magnetization_mub_per_fu=0.000 dos_ef_per_ev_cell=8.708 ef_ev_per_atom=-0.050 final_energy_ev_per_cell=-121.1 pbc="T T T"
V 0.000 0.000 0.000
V -0.012 4.309 0.795
V 0.050 1.433 4.105
V 0.728 3.352 5.826
V 0.790 0.477 9.136
Tc -0.032 -1.414 7.564
Tc 0.810 6.199 2.367
Mo -0.464 -0.951 4.966
Mo -0.829 3.785 3.289
Mo -0.120 2.876 8.330
Mo 0.898 1.910 1.601
Mo 1.607 1.001 6.642

4.
5
Lattice="6.256 -2.149 0.000 6.256 2.149 0.000 -0.364 0.000 2.670" Properties=species:S:1:pos:R:3 comment="V2Tc2Mo, relaxed, DFT GGA-PBE" total_magnetization_mub_per_fu=0.000 dos_ef_per_ev_cell=3.170 ef_ev_per_atom=-0.166 final_energy_ev_per_cell=-50.6 pbc="T T T"
V 2.408 0.000 0.793
V 9.741 0.000 1.876
Tc 4.887 0.000 0.254
Tc 7.262 0.000 2.416
Mo -0.182 0.000 1.335